Entry from the Alexandria database: K2DyFeO4 after structural relaxation (PBE+U).

Unit cell a=6.771 b=7.035 c=9.710 alpha=90.00 beta=90.00 gamma=90.00
Space group Imma (No. 74)
One atom of each set of equivalent atoms:
K  0.000  0.000  0.000
K  0.250  0.250  0.250
Dy  0.000  0.000  0.500
Fe  0.250  0.250  0.750
O  0.000  0.051  0.736
O  0.217  0.250  0.528

Summary:
DFT total energy = -6.01 eV per atom
crystal system = orthorhombic
magnetic moment = 5.08 μB per formula unit